An optimized crystal structure of RbSrAc2, computed with GGA-PBE.

Cell and atoms, written as extended XYZ:
```
4
Lattice="2.011 1.161 14.904 -2.011 1.161 14.904 0.000 -2.322 14.904" Properties=species:S:1:pos:R:3 pbc="T T T"
Rb 0.000 0.000 0.000
Sr 0.000 0.000 22.356
Ac 0.000 0.000 4.070
Ac 0.000 0.000 40.642
```

Properties
V (A^3/atom): 52.2
Total energy (eV/atom): -2.471
Space group: R-3m (166)
N(E_F) (states/eV per cell): 5.6
ΔH_f (0 K) (kJ per mole of atoms): 23.74



An optimized crystal structure of MgPdSe, computed with GGA-PBE.

Cell and atoms, written as extended XYZ:
```
6
Lattice="5.642 0.000 0.000 0.000 3.811 0.000 -0.786 0.000 5.679" Properties=species:S:1:pos:R:3 pbc="T T T"
Mg 0.908 0.953 1.989
Mg 3.947 2.858 3.690
Pd -0.093 0.953 4.996
Pd 4.949 2.858 0.683
Se 1.220 2.858 3.902
Se 3.636 0.953 1.777
```

Properties
V (A^3/atom): 20.3
Total energy (eV/atom): -4.073
Formation energy (no corrections) (eV per atom): -0.6488
Space group: P2_1/m (11)
N(E_F) (states/eV per cell): 0.1